An optimized crystal structure of BaCaCd2Au4. Source: Alexandria, functional PBE.

Unit cell a=4.871 b=4.871 c=10.219 alpha=76.21 beta=76.21 gamma=60.00
Sites, in units of the cell vectors:
Cd (0.761, 0.761, 0.717)
Cd (0.239, 0.239, 0.283)
Ca (0.500, 0.500, 0.500)
Au (0.600, 0.600, 0.199)
Au (0.118, 0.118, 0.647)
Au (0.882, 0.882, 0.353)
Au (0.400, 0.400, 0.801)
Ba (0.000, 0.000, 0.000)

Total moment   0.0 μB per formula unit
Formation energy from the elements   -0.549 eV per atom
Symmetry   No. 166
V   25.2 Å³ per atom